Density functional theory data (GGA-PBE) for crystalline PuMgCu2P2 at its relaxed geometry.

Computed properties:
* calculated formation energy: -3.36 eV per formula unit

Cell lengths 4.0015, 4.0015, 7.1677 Å; angles 90.00, 90.00, 120.00 degrees
Atoms (fractional coordinates):
Pu: 0.0000 0.0000 0.0000
Mg: 0.0000 0.0000 0.5000
Cu: 0.3333 0.6667 0.7148
Cu: 0.6667 0.3333 0.2852
P: 0.3333 0.6667 0.2520
P: 0.6667 0.3333 0.7480

=====

Density functional theory data (GGA-PBE) for crystalline RbMg2Cu2P2 at its relaxed geometry.

Computed properties:
* calculated formation energy: -2.10 eV per formula unit

Cell lengths 9.3911, 9.3911, 9.3911 Å; angles 26.03, 26.03, 26.03 degrees
Atoms (fractional coordinates):
Rb: 0.0000 0.0000 0.0000
Mg: 0.1390 0.1390 0.1390
Mg: 0.8610 0.8610 0.8610
Cu: 0.4462 0.4462 0.4462
Cu: 0.5538 0.5538 0.5538
P: 0.2391 0.2391 0.2391
P: 0.7609 0.7609 0.7609

=====

Density functional theory data (GGA-PBE) for crystalline MgCuPS2 at its relaxed geometry.

Computed properties:
* uncorrected formation energy: 376 kJ/mol of formula units

Cell lengths 4.7540, 4.7540, 4.7867 Å; angles 90.00, 90.00, 90.00 degrees
Atoms (fractional coordinates):
Mg: 0.0000 0.0000 0.0000
Cu: 0.5000 0.5000 0.5000
P: 0.0000 0.0000 0.5000
S: 0.0000 0.5000 0.0000
S: 0.5000 0.0000 0.0000

=====

Density functional theory data (GGA-PBE) for crystalline MgCu2PS4 at its relaxed geometry.

Computed properties:
* uncorrected formation energy: -307 kJ/mol of formula units

Cell lengths 6.5555, 6.5555, 6.5555 Å; angles 130.99, 130.99, 71.83 degrees
Atoms (fractional coordinates):
Mg: 0.0000 0.0000 0.0000
Cu: 0.2500 0.7500 0.5000
Cu: 0.7500 0.2500 0.5000
P: 0.5000 0.5000 0.0000
S: 0.1374 0.1374 0.5351
S: 0.3977 0.8626 0.0000
S: 0.6023 0.6023 0.4649
S: 0.8626 0.3977 0.0000

=====

Density functional theory data (GGA-PBE) for crystalline MgCuPS2 at its relaxed geometry.

Computed properties:
* uncorrected formation energy: 149 kJ/mol of formula units

Cell lengths 4.7813, 4.7813, 4.2387 Å; angles 90.00, 90.00, 90.00 degrees
Atoms (fractional coordinates):
Mg: 0.0000 0.0000 0.0000
Cu: 0.5000 0.5000 0.5000
P: 0.5000 0.5000 0.0000
S: 0.0000 0.5000 0.5000
S: 0.5000 0.0000 0.5000

=====

Density functional theory data (GGA-PBE) for crystalline MgCuPS4 at its relaxed geometry.

Computed properties:
* uncorrected formation energy: -263 kJ/mol of formula units

Cell lengths 7.1356, 7.1356, 7.1356 Å; angles 121.91, 109.15, 98.24 degrees
Atoms (fractional coordinates):
Mg: 0.0000 0.0000 0.0000
Mg: 0.5000 0.0000 0.5000
Cu: 0.5000 0.0000 0.0000
Cu: 0.5000 0.5000 0.5000
P: 0.1352 0.3852 0.7500
P: 0.8648 0.6148 0.2500
S: 0.1793 0.7154 0.4639
S: 0.2485 0.2846 0.9639
S: 0.2672 0.2502 0.4830
S: 0.2672 0.7842 0.0170
S: 0.7328 0.2158 0.9830
S: 0.7328 0.7498 0.5170
S: 0.7515 0.7154 0.0361
S: 0.8207 0.2846 0.5361

=====

Density functional theory data (GGA-PBE) for crystalline MgCuP2S at its relaxed geometry.

Computed properties:
* uncorrected formation energy: 232 kJ/mol of formula units

Cell lengths 4.4423, 4.4423, 4.8405 Å; angles 90.00, 90.00, 90.00 degrees
Atoms (fractional coordinates):
Mg: 0.0000 0.0000 0.0000
Cu: 0.5000 0.5000 0.5000
P: 0.0000 0.5000 0.5000
P: 0.5000 0.0000 0.5000
S: 0.5000 0.5000 0.0000

=====

Density functional theory data (GGA-PBE) for crystalline MgCuP2S at its relaxed geometry.

Computed properties:
* uncorrected formation energy: 483 kJ/mol of formula units

Cell lengths 4.7753, 4.7753, 4.7140 Å; angles 90.00, 90.00, 90.00 degrees
Atoms (fractional coordinates):
Mg: 0.0000 0.0000 0.0000
Cu: 0.5000 0.5000 0.5000
P: 0.0000 0.5000 0.0000
P: 0.5000 0.0000 0.0000
S: 0.0000 0.0000 0.5000

=====

DFT total energy values (in eV for the cell shown) by entry order: -38.3, -25.3, -15.5, -34.9, -17.8, -60.7, -18.2, -15.6.
Magnetic moment values (in μB/f.u.) by entry order: 5.690, 0.000, 0.000, 0.000, 0.000, 0.000, 0.001, 0.000.